# 1
DFT (PBE-GGA) results for an optimized crystal structure of PdAuO2F.

- formation energy without anion corrections (eV per atom) = 0.083
- space-group type = P4/mmm

Cell and atoms, written as POSCAR:
```
PdAuO2F
1.0
3.996 0.000 0.000
0.000 3.996 0.000
0.000 0.000 4.214
Pd Au O F
1 1 2 1
Direct
0.000 0.000 0.000 Pd
0.500 0.500 0.500 Au
0.000 0.500 0.000 O
0.500 0.000 0.000 O
0.000 0.000 0.500 F
```


# 2
DFT (PBE-GGA) results for an optimized crystal structure of Ba3LiSn2.

- formation energy (eV per atom) = -0.470
- space-group type = P2_1/m

Cell and atoms, written as POSCAR:
```
Ba3LiSn2
1.0
5.184 0.000 0.000
0.000 10.987 0.000
-2.592 0.000 8.701
Ba Li Sn
6 2 4
Direct
0.131 0.250 0.260 Ba
0.356 0.052 0.711 Ba
0.356 0.448 0.711 Ba
0.644 0.552 0.289 Ba
0.644 0.948 0.289 Ba
0.869 0.750 0.740 Ba
0.066 0.750 0.133 Li
0.934 0.250 0.867 Li
0.000 0.000 0.000 Sn
0.000 0.500 0.000 Sn
0.231 0.750 0.462 Sn
0.769 0.250 0.538 Sn
```


# 3
DFT (PBE-GGA) results for an optimized crystal structure of Fe2RhI.

- formation energy without anion corrections (eV per atom) = 0.982
- energy above the lowest structure with this stoichiometry (eV per atom) = 0.282
- space-group type = I-42d

Cell and atoms, written as POSCAR:
```
Fe2RhI
1.0
6.861 0.000 0.000
0.000 6.861 0.000
0.000 0.000 5.207
Fe Rh I
8 4 4
Direct
0.245 0.250 0.125 Fe
0.250 0.745 0.375 Fe
0.250 0.755 0.875 Fe
0.255 0.250 0.625 Fe
0.745 0.750 0.625 Fe
0.750 0.245 0.875 Fe
0.750 0.255 0.375 Fe
0.755 0.750 0.125 Fe
0.000 0.000 0.500 Rh
0.000 0.500 0.750 Rh
0.500 0.000 0.250 Rh
0.500 0.500 0.000 Rh
0.000 0.000 0.000 I
0.000 0.500 0.250 I
0.500 0.000 0.750 I
0.500 0.500 0.500 I
```


# 4
DFT (PBE-GGA) results for an optimized crystal structure of TmIn2Ni2.

- formation energy (eV per atom) = -0.342
- space-group type = P2_1/m

Cell and atoms, written as POSCAR:
```
TmIn2Ni2
1.0
5.140 0.000 0.000
0.000 4.467 0.000
-2.525 0.000 8.324
Tm In Ni
2 4 4
Direct
0.053 0.250 0.263 Tm
0.947 0.750 0.737 Tm
0.322 0.250 0.965 In
0.421 0.250 0.625 In
0.579 0.750 0.375 In
0.678 0.750 0.035 In
0.119 0.750 0.463 Ni
0.191 0.750 0.092 Ni
0.809 0.250 0.908 Ni
0.881 0.250 0.537 Ni
```


# 5
DFT (PBE-GGA) results for an optimized crystal structure of GdZrGaAg.

- formation energy (eV per atom) = -0.293
- space-group type = F-43m

Cell and atoms, written as POSCAR:
```
GdZrGaAg
1.0
7.061 0.000 0.000
0.000 7.061 0.000
0.000 0.000 7.061
Gd Zr Ga Ag
4 4 4 4
Direct
0.000 0.000 0.000 Gd
0.000 0.500 0.500 Gd
0.500 0.000 0.500 Gd
0.500 0.500 0.000 Gd
0.000 0.000 0.500 Zr
0.000 0.500 0.000 Zr
0.500 0.000 0.000 Zr
0.500 0.500 0.500 Zr
0.250 0.250 0.750 Ga
0.250 0.750 0.250 Ga
0.750 0.250 0.250 Ga
0.750 0.750 0.750 Ga
0.250 0.250 0.250 Ag
0.250 0.750 0.750 Ag
0.750 0.250 0.750 Ag
0.750 0.750 0.250 Ag
```


# 6
DFT (PBE-GGA) results for an optimized crystal structure of Ca2NbCdAg.

- formation energy (eV per atom) = 0.718
- space-group type = P4/mmm

Cell and atoms, written as POSCAR:
```
Ca2NbCdAg
1.0
5.582 0.000 0.000
0.000 5.582 0.000
0.000 0.000 5.146
Ca Nb Cd Ag
2 1 1 1
Direct
0.000 0.500 0.000 Ca
0.500 0.000 0.000 Ca
0.000 0.000 0.500 Nb
0.500 0.500 0.500 Cd
0.500 0.500 0.000 Ag
```


# 7
DFT (PBE-GGA) results for an optimized crystal structure of KTaO3.

- formation energy without anion corrections (eV per atom) = -2.574
- space-group type = C2/c

Cell and atoms, written as POSCAR:
```
KTaO3
1.0
5.865 -5.401 0.000
5.865 5.401 0.000
-0.060 0.000 5.298
K Ta O
4 4 12
Direct
0.105 0.306 0.318 K
0.306 0.105 0.818 K
0.694 0.895 0.182 K
0.895 0.694 0.682 K
0.245 0.755 0.250 Ta
0.419 0.581 0.750 Ta
0.581 0.419 0.250 Ta
0.755 0.245 0.750 Ta
0.031 0.749 0.131 O
0.211 0.614 0.561 O
0.251 0.969 0.369 O
0.345 0.475 0.070 O
0.386 0.789 0.939 O
0.475 0.345 0.570 O
0.525 0.655 0.430 O
0.614 0.211 0.061 O
0.655 0.525 0.930 O
0.749 0.031 0.631 O
0.789 0.386 0.439 O
0.969 0.251 0.869 O
```


# 8
DFT (PBE-GGA) results for an optimized crystal structure of BaMg6Zn.

- energy above the lowest structure with this stoichiometry (eV per atom) = 0.000
- formation energy (eV per atom) = 0.004
- space-group type = R-3m

Cell and atoms, written as POSCAR:
```
BaMg6Zn
1.0
2.493 1.440 10.154
-2.493 1.440 10.154
0.000 -2.879 10.154
Ba Mg Zn
1 6 1
Direct
0.000 0.000 0.000 Ba
0.136 0.136 0.136 Mg
0.241 0.241 0.241 Mg
0.410 0.410 0.410 Mg
0.590 0.590 0.590 Mg
0.759 0.759 0.759 Mg
0.864 0.864 0.864 Mg
0.500 0.500 0.500 Zn
```